Entry 1:
{"formula": "Rb2ThMoO6", "functional": "GGA+U", "state": "relaxed", "space_group": "Fm-3m, No. 225", "volume_a3_per_atom": 15.9, "total_energy_ev_per_cell": -69.393, "lattice": [[-1.301, 5.858, 0.969], [-2.159, -1.391, 5.509], [2.181, 2.824, 4.921]], "species": ["Rb", "O", "Rb", "O", "O", "O", "Th", "O", "O", "Mo"], "fractional_positions": [[0.250, 0.750, 0.500], [0.271, 0.271, 0.000], [0.750, 0.250, 0.500], [0.271, 0.271, 0.457], [0.271, 0.729, 0.000], [0.729, 0.729, 0.000], [0.000, 0.000, 0.000], [0.729, 0.271, 0.000], [0.729, 0.729, 0.543], [0.500, 0.500, 0.000]]}


Entry 2:
{"formula": "RbThMoO6", "functional": "GGA+U", "state": "relaxed", "space_group": "C2, No. 5", "volume_a3_per_atom": 20.0, "total_energy_ev_per_cell": -64.539, "lattice": [[-5.039, -2.067, -1.226], [-0.753, -2.577, -5.273], [1.856, -5.341, 2.473]], "species": ["Mo", "O", "Th", "O", "O", "O", "O", "Rb", "O"], "fractional_positions": [[0.349, 0.302, 0.500], [0.035, 0.590, 0.686], [0.668, 0.664, 0.500], [0.611, 0.042, 0.333], [0.044, 0.380, 0.310], [0.375, 0.590, 0.313], [0.347, 0.042, 0.667], [0.995, 0.010, 0.000], [0.576, 0.380, 0.690]]}


Entry 3:
{"formula": "RbTiMoO6", "functional": "GGA+U", "state": "relaxed", "space_group": "P1, No. 1", "volume_a3_per_atom": 17.1, "total_energy_ev_per_cell": -63.313, "lattice": [[5.431, -0.046, -0.022], [2.675, 4.617, -0.034], [-0.018, -0.020, 6.104]], "species": ["O", "O", "O", "O", "Rb", "O", "Ti", "Mo", "O"], "fractional_positions": [[0.579, 0.407, 0.688], [0.408, 0.593, 0.316], [0.008, 0.393, 0.348], [0.589, 0.005, 0.309], [0.004, 0.000, 0.993], [0.999, 0.596, 0.652], [0.637, 0.680, 0.530], [0.364, 0.321, 0.476], [0.413, 0.005, 0.688]]}